*one*
# ZnHg2Cl (PBE, optimized geometry)
# M_tot, μB/cell: 0.000
data_ZnHg2Cl
_cell_length_a 7.3232
_cell_length_b 7.3232
_cell_length_c 7.3232
_cell_angle_alpha 90.00
_cell_angle_beta 90.00
_cell_angle_gamma 90.00
_space_group_name_H-M_alt 'F m -3 m'
_space_group_IT_number 225
_space_group_name_Hall '-F 4 2 3'
loop_
_atom_site_label
_atom_site_type_symbol
_atom_site_fract_x
_atom_site_fract_y
_atom_site_fract_z
_atom_site_occupancy
Zn1 Zn 0.0000 0.0000 0.0000 1
Hg1 Hg 0.2500 0.2500 0.2500 1
Cl1 Cl 0.0000 0.0000 0.5000 1

---

*two*
# ZnHg2Cl (PBE, optimized geometry)
# M_tot, μB/cell: 0.000
data_ZnHg2Cl
_cell_length_a 3.6678
_cell_length_b 6.2357
_cell_length_c 9.2960
_cell_angle_alpha 90.00
_cell_angle_beta 90.00
_cell_angle_gamma 90.00
_space_group_name_H-M_alt 'C m m 2'
_space_group_IT_number 35
loop_
_space_group_symop_operation_xyz
'x,y,z'
'-x,-y,z'
'-x,y,z'
'x,-y,z'
'x+1/2,y+1/2,z'
'-x+1/2,-y+1/2,z'
'-x+1/2,y+1/2,z'
'x+1/2,-y+1/2,z'
loop_
_atom_site_label
_atom_site_type_symbol
_atom_site_fract_x
_atom_site_fract_y
_atom_site_fract_z
_atom_site_occupancy
Zn1 Zn 0.0000 0.0000 0.0000 1
Hg1 Hg 0.0000 0.0000 0.5091 1
Hg2 Hg 0.0000 0.5000 0.7823 1
Cl1 Cl 0.0000 0.5000 0.1675 1

---

*two* wins, 22.7 kJ/mol of atoms ahead of the next structure.

---

*one*
# Zn2HgCl (PBE, optimized geometry)
# M_tot, μB/cell: 0.000
data_Zn2HgCl
_cell_length_a 6.1865
_cell_length_b 8.0334
_cell_length_c 4.0856
_cell_angle_alpha 90.00
_cell_angle_beta 117.27
_cell_angle_gamma 90.00
_space_group_name_H-M_alt 'C 1 2/m 1'
_space_group_IT_number 12
loop_
_space_group_symop_operation_xyz
'x,y,z'
'-x,-y,-z'
'-x,y,-z'
'x,-y,z'
'x+1/2,y+1/2,z'
'-x+1/2,-y+1/2,-z'
'-x+1/2,y+1/2,-z'
'x+1/2,-y+1/2,z'
loop_
_atom_site_label
_atom_site_type_symbol
_atom_site_fract_x
_atom_site_fract_y
_atom_site_fract_z
_atom_site_occupancy
Zn1 Zn 0.2500 0.2500 0.0000 1
Hg1 Hg 0.0000 0.0000 0.5000 1
Cl1 Cl 0.0000 0.5000 0.5000 1

---

*two*
# Zn2HgCl (PBE, optimized geometry)
# M_tot, μB/cell: 0.000
data_Zn2HgCl
_cell_length_a 9.5243
_cell_length_b 3.5943
_cell_length_c 7.3998
_cell_angle_alpha 90.00
_cell_angle_beta 129.88
_cell_angle_gamma 90.00
_space_group_name_H-M_alt 'C 1 2/m 1'
_space_group_IT_number 12
loop_
_space_group_symop_operation_xyz
'x,y,z'
'-x,-y,-z'
'-x,y,-z'
'x,-y,z'
'x+1/2,y+1/2,z'
'-x+1/2,-y+1/2,-z'
'-x+1/2,y+1/2,-z'
'x+1/2,-y+1/2,z'
loop_
_atom_site_label
_atom_site_type_symbol
_atom_site_fract_x
_atom_site_fract_y
_atom_site_fract_z
_atom_site_occupancy
Zn1 Zn 0.1327 0.0000 0.3453 1
Hg1 Hg 0.0000 0.5000 0.5000 1
Cl1 Cl 0.0000 0.5000 0.0000 1

---

*three*
# Zn2HgCl (PBE, optimized geometry)
# M_tot, μB/cell: 0.000
data_Zn2HgCl
_cell_length_a 3.6454
_cell_length_b 6.1073
_cell_length_c 8.1933
_cell_angle_alpha 90.00
_cell_angle_beta 90.00
_cell_angle_gamma 90.00
_space_group_name_H-M_alt 'I m m m'
_space_group_IT_number 71
_space_group_name_Hall '-I 2 2'
loop_
_atom_site_label
_atom_site_type_symbol
_atom_site_fract_x
_atom_site_fract_y
_atom_site_fract_z
_atom_site_occupancy
Zn1 Zn 0.0000 0.0000 0.2441 1
Hg1 Hg 0.0000 0.5000 0.0000 1
Cl1 Cl 0.0000 0.5000 0.5000 1

---

*two* wins, 9.6 kJ/mol of atoms ahead of the next structure.

---

*one*
# ZnHgCl (PBE, optimized geometry)
# M_tot, μB/cell: 0.000
data_ZnHgCl
_cell_length_a 3.4733
_cell_length_b 3.4733
_cell_length_c 28.1265
_cell_angle_alpha 90.00
_cell_angle_beta 90.00
_cell_angle_gamma 120.00
_space_group_name_H-M_alt 'P -3 m 1'
_space_group_IT_number 164
_space_group_name_Hall '-P 3 2"'
loop_
_atom_site_label
_atom_site_type_symbol
_atom_site_fract_x
_atom_site_fract_y
_atom_site_fract_z
_atom_site_occupancy
Zn1 Zn 0.3333 0.6667 0.1183 1
Zn2 Zn 0.3333 0.6667 0.6186 1
Hg1 Hg 0.3333 0.6667 0.8060 1
Hg2 Hg 0.3333 0.6667 0.9560 1
Cl1 Cl 0.3333 0.6667 0.3267 1
Cl2 Cl 0.3333 0.6667 0.4358 1

---

*two*
# ZnHgCl (PBE, optimized geometry)
# M_tot, μB/cell: 0.000
data_ZnHgCl
_cell_length_a 3.3534
_cell_length_b 3.3534
_cell_length_c 12.0543
_cell_angle_alpha 90.00
_cell_angle_beta 90.00
_cell_angle_gamma 90.00
_space_group_name_H-M_alt 'I 4 m m'
_space_group_IT_number 107
_space_group_name_Hall 'I 4 -2'
loop_
_atom_site_label
_atom_site_type_symbol
_atom_site_fract_x
_atom_site_fract_y
_atom_site_fract_z
_atom_site_occupancy
Zn1 Zn 0.0000 0.0000 0.0000 1
Hg1 Hg 0.0000 0.0000 0.3509 1
Cl1 Cl 0.0000 0.0000 0.6189 1

---

*three*
# ZnHgCl (PBE, optimized geometry)
# M_tot, μB/cell: 0.000
data_ZnHgCl
_cell_length_a 3.7834
_cell_length_b 3.7834
_cell_length_c 5.8882
_cell_angle_alpha 90.00
_cell_angle_beta 90.00
_cell_angle_gamma 120.00
_space_group_name_H-M_alt 'P 3 m 1'
_space_group_IT_number 156
loop_
_space_group_symop_operation_xyz
'x,y,z'
'-y,x-y,z'
'-x+y,-x,z'
'-y,-x,z'
'-x+y,y,z'
'x,x-y,z'
loop_
_atom_site_label
_atom_site_type_symbol
_atom_site_fract_x
_atom_site_fract_y
_atom_site_fract_z
_atom_site_occupancy
Zn1 Zn 0.0000 0.0000 0.0000 1
Hg1 Hg 0.3333 0.6667 0.7151 1
Cl1 Cl 0.6667 0.3333 0.2410 1

---

*one* wins, 2.9 kJ/mol of atoms ahead of the next structure.